# 1
Ce2HoU2Ru5 | GGA-PBE | relaxed

Geometry as POSCAR:
```
Ce2HoU2Ru5
1.0
-0.868 -1.902 3.005
5.098 -8.372 -3.828
8.861 3.277 4.634
Ce Ho U Ru
4 2 4 10
Cartesian
5.035 -5.093 -1.771
8.924 -0.001 2.576
3.760 -0.436 0.810
10.199 -4.659 -0.004
0.000 0.000 0.000
6.980 -2.547 0.403
6.371 0.930 2.429
7.589 -6.025 -1.623
10.887 -2.528 1.544
3.072 -2.567 -0.738
1.116 -2.520 0.956
11.976 -4.477 2.854
6.856 1.183 4.959
7.126 -5.426 0.852
6.236 -8.180 -1.149
5.966 -1.571 2.958
8.675 -3.272 2.663
4.416 -3.725 1.147
2.115 -5.137 -0.412
3.997 0.687 3.819
```

Summary:
DOS at the Fermi energy in states/eV per cell: 31.04
Total magnetization in μB/atom: 0.149
Energy of formation from the pure elements in eV/atom: -0.2458

# 2
CrCdN2 | GGA-PBE | relaxed

Geometry as POSCAR:
```
CrCdN2
1.0
1.670 0.000 6.601
-0.835 1.446 6.601
-0.835 -1.446 6.601
Cr N Cd
1 2 1
Cartesian
0.000 0.000 9.901
0.000 0.000 17.556
0.000 0.000 2.246
0.000 0.000 0.000
```

Summary:
DOS at the Fermi energy in states/eV per cell: 3.30
Total magnetization in μB/atom: 0.218
Formation energy (no corrections) in kcal/mol of atoms: 4.42

# 3
AcNd5ErTm2 | GGA-PBE | relaxed

Geometry as POSCAR:
```
AcNd5ErTm2
1.0
-4.759 -2.538 1.282
1.307 -2.550 -12.183
4.803 -7.909 2.171
Ac Nd Er Tm
2 10 2 4
Cartesian
1.844 -9.366 0.285
1.188 -6.398 -8.256
-0.690 -3.251 -8.998
1.224 -9.895 -3.062
2.609 -9.604 -9.329
2.800 -8.080 -5.604
2.573 -4.353 0.930
-0.055 -6.294 -0.680
1.163 -4.808 -5.201
-1.206 -3.479 0.623
-1.721 -4.469 -3.249
-3.236 -5.326 -10.571
-0.387 -7.497 -4.297
-0.350 -2.060 -5.377
0.569 -10.454 -6.599
2.854 -6.658 -2.587
1.137 -3.128 -1.971
-2.247 -5.113 -6.480
```

Summary:
DOS at the Fermi energy in states/eV per cell: 23.37
Total magnetization in μB/atom: 0.000
Energy of formation from the pure elements in eV/atom: 0.1464

What did the third record say?
AcNd5ErTm2 | GGA-PBE | relaxed

Geometry as POSCAR:
```
AcNd5ErTm2
1.0
-4.759 -2.538 1.282
1.307 -2.550 -12.183
4.803 -7.909 2.171
Ac Nd Er Tm
2 10 2 4
Cartesian
1.844 -9.366 0.285
1.188 -6.398 -8.256
-0.690 -3.251 -8.998
1.224 -9.895 -3.062
2.609 -9.604 -9.329
2.800 -8.080 -5.604
2.573 -4.353 0.930
-0.055 -6.294 -0.680
1.163 -4.808 -5.201
-1.206 -3.479 0.623
-1.721 -4.469 -3.249
-3.236 -5.326 -10.571
-0.387 -7.497 -4.297
-0.350 -2.060 -5.377
0.569 -10.454 -6.599
2.854 -6.658 -2.587
1.137 -3.128 -1.971
-2.247 -5.113 -6.480
```

Summary:
DOS at the Fermi energy in states/eV per cell: 23.37
Total magnetization in μB/atom: 0.000
Energy of formation from the pure elements in eV/atom: 0.1464

What did the first record say?
Ce2HoU2Ru5 | GGA-PBE | relaxed

Geometry as POSCAR:
```
Ce2HoU2Ru5
1.0
-0.868 -1.902 3.005
5.098 -8.372 -3.828
8.861 3.277 4.634
Ce Ho U Ru
4 2 4 10
Cartesian
5.035 -5.093 -1.771
8.924 -0.001 2.576
3.760 -0.436 0.810
10.199 -4.659 -0.004
0.000 0.000 0.000
6.980 -2.547 0.403
6.371 0.930 2.429
7.589 -6.025 -1.623
10.887 -2.528 1.544
3.072 -2.567 -0.738
1.116 -2.520 0.956
11.976 -4.477 2.854
6.856 1.183 4.959
7.126 -5.426 0.852
6.236 -8.180 -1.149
5.966 -1.571 2.958
8.675 -3.272 2.663
4.416 -3.725 1.147
2.115 -5.137 -0.412
3.997 0.687 3.819
```

Summary:
DOS at the Fermi energy in states/eV per cell: 31.04
Total magnetization in μB/atom: 0.149
Energy of formation from the pure elements in eV/atom: -0.2458

> Among the records above, which one has the lowest DOS at the Fermi energy?

CrCdN2